Record 1
Computed, not measured: Sm5Cd2RuRh2 after structural relaxation at the PBE level of DFT.

Unit cell a=11.7707 b=11.7707 c=3.6164 alpha=90.00 beta=90.00 gamma=90.00
Atoms (fractional coordinates):
Sm1 0.0000 0.5000 0.0000
Sm2 0.0680 0.1943 0.0000
Sm3 0.1943 0.9320 0.0000
Sm4 0.3057 0.4320 0.0000
Sm5 0.4320 0.6943 0.0000
Sm6 0.5000 0.0000 0.0000
Sm7 0.5680 0.3057 0.0000
Sm8 0.6943 0.5680 0.0000
Sm9 0.8057 0.0680 0.0000
Sm10 0.9320 0.8057 0.0000
Cd1 0.1799 0.6799 0.5000
Cd2 0.3201 0.1799 0.5000
Cd3 0.6799 0.8201 0.5000
Cd4 0.8201 0.3201 0.5000
Ru1 0.0000 0.0000 0.5000
Ru2 0.5000 0.5000 0.5000
Rh1 0.1333 0.3667 0.5000
Rh2 0.3667 0.8667 0.5000
Rh3 0.6333 0.1333 0.5000
Rh4 0.8667 0.6333 0.5000

Results
**Symmetry**: P4/mbm (127)
**Total moment**: 0.00 μB per atom

---

Record 2
Computed, not measured: SrCdRu2Rh after structural relaxation at the PBE level of DFT.

Unit cell a=4.9347 b=4.9347 c=5.5648 alpha=90.00 beta=90.00 gamma=90.00
Atoms (fractional coordinates):
Sr1 0.0000 0.0000 0.0000
Cd1 0.0000 0.0000 0.5000
Ru1 0.0000 0.5000 0.5000
Ru2 0.5000 0.0000 0.5000
Rh1 0.5000 0.5000 0.0000

Results
**Symmetry**: P4/mmm (123)
**Total moment**: 0.93 μB per atom

---

Record 3
Computed, not measured: Tb4CdRu2Rh after structural relaxation at the PBE level of DFT.

Unit cell a=8.5814 b=8.5814 c=8.5814 alpha=33.45 beta=33.45 gamma=33.45
Atoms (fractional coordinates):
Tb1 0.1194 0.1194 0.1194
Tb2 0.3712 0.3712 0.3712
Tb3 0.6288 0.6288 0.6288
Tb4 0.8806 0.8806 0.8806
Cd1 0.5000 0.5000 0.5000
Ru1 0.2491 0.2491 0.2491
Ru2 0.7509 0.7509 0.7509
Rh1 0.0000 0.0000 0.0000

Results
**Symmetry**: R-3m (166)
**Total moment**: 0.00 μB per atom

---

Record 4
Computed, not measured: TiCdRuRh after structural relaxation at the PBE level of DFT.

Unit cell a=4.4618 b=4.4618 c=4.4618 alpha=60.00 beta=60.00 gamma=60.00
Atoms (fractional coordinates):
Ti1 0.0000 0.0000 0.0000
Cd1 0.5000 0.5000 0.5000
Ru1 0.7500 0.7500 0.7500
Rh1 0.2500 0.2500 0.2500

Results
**Symmetry**: F-43m (216)
**Total moment**: 0.00 μB per atom

---

Record 5
Computed, not measured: Tm5Cd2RuRh2 after structural relaxation at the PBE level of DFT.

Unit cell a=11.4171 b=11.4171 c=3.5087 alpha=90.00 beta=90.00 gamma=90.00
Atoms (fractional coordinates):
Tm1 0.0000 0.5000 0.0000
Tm2 0.0676 0.1947 0.0000
Tm3 0.1947 0.9324 0.0000
Tm4 0.3053 0.4324 0.0000
Tm5 0.4324 0.6947 0.0000
Tm6 0.5000 0.0000 0.0000
Tm7 0.5676 0.3053 0.0000
Tm8 0.6947 0.5676 0.0000
Tm9 0.8053 0.0676 0.0000
Tm10 0.9324 0.8053 0.0000
Cd1 0.1773 0.6773 0.5000
Cd2 0.3227 0.1773 0.5000
Cd3 0.6773 0.8227 0.5000
Cd4 0.8227 0.3227 0.5000
Ru1 0.0000 0.0000 0.5000
Ru2 0.5000 0.5000 0.5000
Rh1 0.1311 0.3689 0.5000
Rh2 0.3689 0.8689 0.5000
Rh3 0.6311 0.1311 0.5000
Rh4 0.8689 0.6311 0.5000

Results
**Symmetry**: P4/mbm (127)
**Total moment**: 0.00 μB per atom

---

Record 6
Computed, not measured: Y5Cd2RuRh2 after structural relaxation at the PBE level of DFT.

Unit cell a=11.6154 b=11.6154 c=3.5508 alpha=90.00 beta=90.00 gamma=90.00
Atoms (fractional coordinates):
Y1 0.0000 0.5000 0.0000
Y2 0.0678 0.1942 0.0000
Y3 0.1942 0.9322 0.0000
Y4 0.3058 0.4322 0.0000
Y5 0.4322 0.6942 0.0000
Y6 0.5000 0.0000 0.0000
Y7 0.5678 0.3058 0.0000
Y8 0.6942 0.5678 0.0000
Y9 0.8058 0.0678 0.0000
Y10 0.9322 0.8058 0.0000
Cd1 0.1785 0.6785 0.5000
Cd2 0.3215 0.1785 0.5000
Cd3 0.6785 0.8215 0.5000
Cd4 0.8215 0.3215 0.5000
Ru1 0.0000 0.0000 0.5000
Ru2 0.5000 0.5000 0.5000
Rh1 0.1324 0.3676 0.5000
Rh2 0.3676 0.8676 0.5000
Rh3 0.6324 0.1324 0.5000
Rh4 0.8676 0.6324 0.5000

Results
**Symmetry**: P4/mbm (127)
**Total moment**: 0.00 μB per atom

---

Record 7
Computed, not measured: YCdRuRh2 after structural relaxation at the PBE level of DFT.

Unit cell a=4.7506 b=4.7506 c=5.1579 alpha=90.00 beta=90.00 gamma=90.00
Atoms (fractional coordinates):
Y1 0.0000 0.0000 0.0000
Cd1 0.5000 0.5000 0.0000
Ru1 0.0000 0.0000 0.5000
Rh1 0.0000 0.5000 0.5000
Rh2 0.5000 0.0000 0.5000

Results
**Symmetry**: P4/mmm (123)
**Total moment**: 0.00 μB per atom

---

Record 8
Computed, not measured: ZrCdRuRh2 after structural relaxation at the PBE level of DFT.

Unit cell a=4.7704 b=4.7704 c=4.8349 alpha=90.00 beta=90.00 gamma=90.00
Atoms (fractional coordinates):
Zr1 0.0000 0.0000 0.0000
Cd1 0.5000 0.5000 0.0000
Ru1 0.0000 0.0000 0.5000
Rh1 0.0000 0.5000 0.5000
Rh2 0.5000 0.0000 0.5000

Results
**Symmetry**: P4/mmm (123)
**Total moment**: 0.00 μB per atom

---

| no. | energy of formation from the pure elements (meV per atom) |
| --- | --- |
| 1 | -420 |
| 2 | 1826 |
| 3 | -456 |
| 4 | -287 |
| 5 | -522 |
| 6 | -469 |
| 7 | 586 |
| 8 | 765 |